Record 1
{"formula": "Mn2FeMo", "functional": "PBE", "state": "relaxed", "spacegroup": "I-4m2 (119)", "lattice_angstrom": [[-1.824, 1.824, 3.730], [1.824, -1.824, 3.730], [1.824, 1.824, -3.730]], "species": ["Mn", "Mn", "Fe", "Mo"], "frac_coords": [[0.000, 0.000, 0.000], [0.750, 0.250, 0.500], [0.500, 0.500, 0.000], [0.250, 0.750, 0.500]]}

Record 2
{"formula": "MnFe2Mo", "functional": "PBE", "state": "relaxed", "de_polymorph_kcal_per_mol_atoms": 0.53, "spacegroup": "Imm2 (44)", "lattice_angstrom": [[-1.522, 2.038, 4.059], [1.522, -2.038, 4.059], [1.522, 2.038, -4.059]], "species": ["Mn", "Fe", "Fe", "Mo"], "frac_coords": [[0.000, 0.000, 0.000], [0.251, 0.751, 0.500], [0.496, 0.496, 0.000], [0.748, 0.248, 0.500]]}

Record 3
{"formula": "MnFe2Mo", "functional": "PBE", "state": "relaxed", "de_polymorph_kcal_per_mol_atoms": 2.27, "spacegroup": "Pmm2 (25)", "lattice_angstrom": [[2.601, 0.000, 0.000], [0.000, 3.532, 0.000], [0.000, 0.000, 5.348]], "species": ["Mn", "Fe", "Fe", "Mo"], "frac_coords": [[0.000, 0.000, 0.000], [0.000, 0.000, 0.552], [0.500, 0.500, 0.787], [0.500, 0.500, 0.288]]}

Record 4
{"formula": "MnFe2Mo", "functional": "PBE", "state": "relaxed", "de_polymorph_kcal_per_mol_atoms": 0.00, "spacegroup": "F-43m (216)", "lattice_angstrom": [[0.000, 2.922, 2.922], [2.922, 0.000, 2.922], [2.922, 2.922, 0.000]], "species": ["Mn", "Fe", "Fe", "Mo"], "frac_coords": [[0.000, 0.000, 0.000], [0.250, 0.250, 0.250], [0.500, 0.500, 0.500], [0.750, 0.750, 0.750]]}

Record 5
{"formula": "Mn2FeMo", "functional": "PBE", "state": "relaxed", "spacegroup": "F-43m (216)", "lattice_angstrom": [[0.000, 2.920, 2.920], [2.920, 0.000, 2.920], [2.920, 2.920, 0.000]], "species": ["Mn", "Mn", "Fe", "Mo"], "frac_coords": [[0.000, 0.000, 0.000], [0.250, 0.250, 0.250], [0.500, 0.500, 0.500], [0.750, 0.750, 0.750]]}

Record 6
{"formula": "MnFe4Mo", "functional": "PBE", "state": "relaxed", "spacegroup": "F-43m (216)", "lattice_angstrom": [[0.000, 3.326, 3.326], [3.326, 0.000, 3.326], [3.326, 3.326, 0.000]], "species": ["Mn", "Fe", "Fe", "Fe", "Fe", "Mo"], "frac_coords": [[0.000, 0.000, 0.000], [0.375, 0.375, 0.375], [0.375, 0.375, 0.876], [0.375, 0.876, 0.375], [0.876, 0.375, 0.375], [0.750, 0.750, 0.750]]}

Record 7
{"formula": "MnFe2Mo", "functional": "PBE", "state": "relaxed", "de_polymorph_kcal_per_mol_atoms": 1.04, "spacegroup": "Pm (6)", "lattice_angstrom": [[2.563, 0.000, 0.000], [0.000, 4.074, 0.000], [-0.906, 0.000, 4.825]], "species": ["Mn", "Fe", "Fe", "Mo"], "frac_coords": [[0.000, 0.000, 0.000], [0.260, 0.500, 0.758], [0.499, 0.000, 0.523], [0.755, 0.500, 0.257]]}

Record 8
{"formula": "Mn3FeMo2", "functional": "PBE", "state": "relaxed", "spacegroup": "P6_3/mmc (194)", "lattice_angstrom": [[4.671, 0.000, 0.000], [-2.336, 4.045, 0.000], [0.000, 0.000, 7.801]], "species": ["Mn", "Mn", "Mn", "Mn", "Mn", "Mn", "Fe", "Fe", "Mo", "Mo", "Mo", "Mo"], "frac_coords": [[0.172, 0.345, 0.250], [0.172, 0.828, 0.250], [0.345, 0.172, 0.750], [0.655, 0.828, 0.250], [0.828, 0.172, 0.750], [0.828, 0.655, 0.750], [0.000, 0.000, 0.000], [0.000, 0.000, 0.500], [0.333, 0.667, 0.566], [0.333, 0.667, 0.934], [0.667, 0.333, 0.066], [0.667, 0.333, 0.434]]}

no.,energy relative to the elements (eV per atom)
1,0.13
2,0.08
3,0.16
4,0.06
5,0.10
6,0.05
7,0.10
8,-0.07